[1]
Below is a relaxed structure of SrLaZn, with properties calculated at the PBEsol level.

Values from the calculation:
The polymorph energy (0 for the lowest one) is 201 meV/atom. Its space-group type is F-43m (216).

The structure in POSCAR format:
```
SrLaZn
1.0
5.235 0.000 0.000
2.617 4.533 0.000
2.617 1.511 4.274
Zn Sr La
1 1 1
Direct
0.250 0.250 0.250
0.500 0.500 0.500
0.000 0.000 0.000
```

=====

[2]
Below is a relaxed structure of SrLa2Zn, with properties calculated at the PBEsol level.

Values from the calculation:
Its total energy is -14.39 eV for the cell shown. Its space-group type is P4mm (99).

The structure in POSCAR format:
```
SrLa2Zn
1.0
3.729 0.000 0.000
0.000 3.729 0.000
0.000 0.000 9.273
La Zn Sr
2 1 1
Direct
0.500 0.500 0.218
0.000 0.000 0.958
0.500 0.500 0.770
0.000 0.000 0.554
```

=====

[3]
Below is a relaxed structure of Sr2LaZr, with properties calculated at the PBEsol level.

Values from the calculation:
The polymorph energy (0 for the lowest one) is 0 meV/atom. Its space-group type is P4mm (99).

The structure in POSCAR format:
```
Sr2LaZr
1.0
3.999 0.000 0.000
0.000 3.999 0.000
0.000 0.000 9.382
La Zr Sr
1 1 2
Direct
0.500 0.500 0.684
0.000 0.000 0.552
0.500 0.500 0.301
0.000 0.000 0.963
```

=====

[4]
Below is a relaxed structure of Sr2LaZr, with properties calculated at the PBEsol level.

Values from the calculation:
The polymorph energy (0 for the lowest one) is 289 meV/atom. Its space-group type is P4/mmm (123).

The structure in POSCAR format:
```
Sr2LaZr
1.0
-2.893 3.020 0.858
0.303 -0.894 4.164
5.784 5.336 0.725
Sr Zr La
2 1 1
Direct
0.000 0.000 0.772
0.000 0.000 0.228
0.500 0.500 0.000
0.500 0.500 0.500
```

=====

[5]
Below is a relaxed structure of Sr2LaZr, with properties calculated at the PBEsol level.

Values from the calculation:
The polymorph energy (0 for the lowest one) is 190 meV/atom. Its space-group type is P2/m (10).

The structure in POSCAR format:
```
Sr2LaZr
1.0
3.509 0.000 0.052
0.000 6.227 0.000
-0.699 0.000 6.359
La Sr Zr
1 2 1
Direct
0.000 0.500 0.500
0.742 0.000 0.759
0.258 0.000 0.241
0.500 0.500 0.000
```

=====

[6]
Below is a relaxed structure of SrLa2Zr, with properties calculated at the PBEsol level.

Values from the calculation:
The polymorph energy (0 for the lowest one) is 171 meV/atom. Its space-group type is Cmmm (65).

The structure in POSCAR format:
```
SrLa2Zr
1.0
-2.687 -0.191 -2.290
2.934 -4.467 -3.070
-3.483 -2.694 4.313
La Sr Zr
2 1 1
Direct
0.000 0.000 0.500
0.000 0.500 0.000
0.500 0.000 0.000
0.500 0.500 0.500
```

=====

These records have M_tot values of 0.000 0.000 0.000 0.406 0.117 0.000 μB per atom, in the order they appear.